Record 1
The following is a DFT calculation (PBE) of a geometry-optimized Hf2ScAs2 structure.

- Total energy: -7.70 eV per atom
- Space-group type: No. 139

POSCAR file:
```
Hf2ScAs2
1.0
2.909 -2.909 0.000
2.909 2.909 0.000
-2.909 0.000 6.044
As Hf Sc
2 2 1
Cartesian
0.000 0.000 4.784 As
2.909 0.000 1.260 As
1.454 -1.454 3.022 Hf
1.454 1.454 3.022 Hf
0.000 0.000 0.000 Sc
```

***

Record 2
The following is a DFT calculation (PBE) of a geometry-optimized Tb2ErAl3NiGe2 structure.

- Total energy: -5.18 eV per atom
- Space-group type: No. 38

POSCAR file:
```
Tb2ErAl3NiGe2
1.0
4.182 0.000 0.000
0.000 6.016 3.475
0.000 -6.016 3.475
Al Ni Ge Tb Er
3 1 2 2 1
Cartesian
2.091 0.000 5.361 Al
2.091 1.369 0.798 Al
2.091 -1.369 0.798 Al
0.000 0.000 0.017 Ni
2.091 -1.987 3.470 Ge
2.091 1.987 3.470 Ge
0.000 -2.425 5.546 Tb
0.000 2.425 5.546 Tb
0.000 0.000 2.796 Er
```

***

Record 3
The following is a DFT calculation (PBE) of a geometry-optimized KZrNO structure.

- ΔE to the lowest computed polymorph: 0.597 eV/f.u.
- Space-group type: No. 29

POSCAR file:
```
KZrNO
1.0
5.686 0.000 0.000
0.000 5.870 0.000
0.000 0.000 7.789
O N K Zr
4 4 4 4
Cartesian
2.942 2.129 4.412 O
5.587 5.064 4.412 O
0.099 2.129 3.376 O
2.744 5.064 3.376 O
2.075 4.911 6.222 N
0.768 1.975 6.222 N
4.918 4.911 1.567 N
3.611 1.975 1.567 N
3.956 2.999 6.903 K
1.113 2.999 0.886 K
1.730 0.064 0.886 K
4.573 0.064 6.903 K
4.165 3.449 2.834 Zr
1.322 3.449 4.955 Zr
1.521 0.514 4.955 Zr
4.364 0.514 2.834 Zr
```

***

Record 4
The following is a DFT calculation (PBE) of a geometry-optimized HfPaAu structure.

- Energy of formation from the pure elements: 1.63 eV per formula unit
- Space-group type: No. 216

POSCAR file:
```
HfPaAu
1.0
0.000 3.309 3.309
3.309 0.000 3.309
3.309 3.309 0.000
Pa Hf Au
1 1 1
Cartesian
4.963 4.963 4.963 Pa
0.000 0.000 0.000 Hf
1.654 1.654 1.654 Au
```

***

Record 5
The following is a DFT calculation (PBE) of a geometry-optimized Cu5Ag4 structure.

- Energy of formation from the pure elements: 0.69 eV per formula unit
- ΔE to the lowest computed polymorph: 0.326 eV/f.u.
- Space-group type: No. 107

POSCAR file:
```
Cu5Ag4
1.0
-5.666 -4.219 15.314
-8.080 -1.124 14.760
5.528 1.474 -15.864
Cu Ag
5 4
Cartesian
-9.217 -3.582 20.165 Cu
-4.545 -1.766 9.943 Cu
-10.777 -4.189 23.579 Cu
-13.633 -5.299 29.826 Cu
-6.123 -2.380 13.396 Cu
-7.537 -2.929 16.489 Ag
-1.569 -0.610 3.432 Ag
-12.208 -4.745 26.709 Ag
-3.122 -1.213 6.830 Ag
```

***

Record 6
The following is a DFT calculation (PBE) of a geometry-optimized KAgGeTe2Se structure.

- Total energy: -3.31 eV per atom
- Space-group type: No. 63

POSCAR file:
```
KAgGeTe2Se
1.0
1.922 -7.848 0.000
1.922 7.848 0.000
0.000 0.000 11.373
Se Ge Te K Ag
2 2 4 2 2
Cartesian
1.922 7.002 8.530 Se
1.922 -7.002 2.843 Se
0.000 0.000 0.000 Ge
0.000 0.000 5.687 Ge
1.922 -2.119 5.362 Te
1.922 2.119 11.049 Te
1.922 2.119 6.011 Te
1.922 -2.119 0.324 Te
1.922 3.700 2.843 K
1.922 -3.700 8.530 K
1.922 -0.962 2.843 Ag
1.922 0.962 8.530 Ag
```

***

Record 7
The following is a DFT calculation (PBE) of a geometry-optimized MgFeBIr structure.

- ΔE to the lowest computed polymorph: 0.000 eV/f.u.
- Space-group type: No. 216

POSCAR file:
```
MgFeBIr
1.0
0.842 -2.426 3.106
-1.245 0.968 3.708
-2.942 -2.121 1.755
Fe Mg B Ir
1 1 1 1
Cartesian
-2.510 -2.684 6.426 Fe
-1.673 -1.790 4.284 Mg
0.000 0.000 0.000 B
-0.837 -0.895 2.142 Ir
```

***

Record 8
The following is a DFT calculation (PBE) of a geometry-optimized ZnF2 structure.

- Total energy: -2.15 eV per atom
- Space-group type: No. 227

POSCAR file:
```
ZnF2
1.0
0.000 3.133 3.133
3.133 0.000 3.133
3.133 3.133 0.000
F Zn
4 2
Cartesian
2.350 3.916 2.350 F
3.916 3.916 3.916 F
3.916 2.350 2.350 F
2.350 2.350 3.916 F
0.000 0.000 0.000 Zn
1.567 1.567 1.567 Zn
```

***

Record 9
The following is a DFT calculation (PBE) of a geometry-optimized Al2SiAg2 structure.

- Total energy: -3.42 eV per atom
- Space-group type: No. 139

POSCAR file:
```
Al2SiAg2
1.0
-1.905 1.905 6.230
1.905 -1.905 6.230
1.905 1.905 -6.230
Ag Al Si
2 2 1
Cartesian
0.000 1.905 3.115 Ag
1.905 0.000 3.115 Ag
0.000 0.000 7.449 Al
0.000 0.000 5.011 Al
0.000 0.000 0.000 Si
```

***

Record 10
The following is a DFT calculation (PBE) of a geometry-optimized RbScZnTe3 structure.

- Total energy: -3.82 eV per atom
- Space-group type: No. 12

POSCAR file:
```
RbScZnTe3
1.0
9.864 -2.165 0.000
9.864 2.165 0.000
-1.666 0.000 9.282
Rb Sc Te Zn
2 2 6 2
Cartesian
15.293 0.000 8.687 Rb
2.768 0.000 0.595 Rb
15.551 0.000 4.010 Sc
2.510 0.000 5.272 Sc
-0.833 0.000 4.641 Te
5.335 0.000 5.912 Te
6.222 0.000 2.113 Te
11.839 0.000 7.169 Te
9.864 0.000 0.000 Te
12.727 0.000 3.370 Te
8.843 0.000 2.599 Zn
9.218 0.000 6.683 Zn
```

***

Record 11
The following is a DFT calculation (PBE) of a geometry-optimized LiLaNiSn structure.

- ΔE to the lowest computed polymorph: 0.000 eV/f.u.
- Space-group type: No. 216

POSCAR file:
```
LiLaNiSn
1.0
0.000 3.385 3.385
3.385 0.000 3.385
3.385 3.385 0.000
Ni La Li Sn
1 1 1 1
Cartesian
1.692 1.692 1.692 Ni
3.385 3.385 3.385 La
5.077 5.077 5.077 Li
0.000 0.000 0.000 Sn
```

***

Record 12
The following is a DFT calculation (PBE) of a geometry-optimized AcSmSi structure.

- ΔE to the lowest computed polymorph: 0.000 eV/f.u.
- Space-group type: No. 216

POSCAR file:
```
AcSmSi
1.0
1.529 -4.920 -0.220
-3.428 -3.723 -0.992
0.110 -2.466 -4.528
Si Ac Sm
1 1 1
Cartesian
0.000 0.000 0.000 Si
-0.447 -2.777 -1.435 Ac
-1.342 -8.332 -4.305 Sm
```